# 1
ZrTaRu | meta-GGA SCAN | PBEsol geometry

Cell and atoms, written as CIF:
```
data_ZrTaRu
_cell_length_a 3.176
_cell_length_b 3.176
_cell_length_c 10.249
_cell_angle_alpha 90.00
_cell_angle_beta 90.00
_cell_angle_gamma 90.00
_space_group_name_H-M_alt 'I 4 m m'
_space_group_IT_number 107
_space_group_name_Hall 'I 4 -2'
loop_
_atom_site_label
_atom_site_type_symbol
_atom_site_fract_x
_atom_site_fract_y
_atom_site_fract_z
Zr1 Zr 0.000 0.000 0.000
Ta1 Ta 0.000 0.000 0.686
Ru1 Ru 0.000 0.000 0.333
```

Computed properties:
Formation energy from the elements ... -0.439 eV/atom
ρ ... 12.0 g/cm3
Fermi-level density of states ... 0.369 states/eV per atom
Crystal system ... tetragonal


# 2
Tb3Ru | meta-GGA SCAN | PBEsol geometry

Cell and atoms, written as CIF:
```
data_Tb3Ru
_cell_length_a 7.199
_cell_length_b 9.097
_cell_length_c 6.210
_cell_angle_alpha 90.00
_cell_angle_beta 90.00
_cell_angle_gamma 90.00
_space_group_name_H-M_alt 'P n m a'
_space_group_IT_number 62
loop_
_space_group_symop_operation_xyz
'x,y,z'
'-x,-y,-z'
'-x+1/2,-y,z+1/2'
'x+1/2,y,-z+1/2'
'x+1/2,-y+1/2,-z+1/2'
'-x+1/2,y+1/2,z+1/2'
'-x,y+1/2,-z'
'x,-y+1/2,z'
loop_
_atom_site_label
_atom_site_type_symbol
_atom_site_fract_x
_atom_site_fract_y
_atom_site_fract_z
Tb1 Tb 0.040 0.250 0.135
Tb2 Tb 0.178 0.064 0.668
Ru1 Ru 0.114 0.750 0.456
```

Computed properties:
Formation energy from the elements ... -0.376 eV/atom
ρ ... 9.4 g/cm3
Fermi-level density of states ... 0.681 states/eV per atom
Crystal system ... orthorhombic


# 3
TbRu2 | meta-GGA SCAN | PBEsol geometry

Cell and atoms, written as CIF:
```
data_TbRu2
_cell_length_a 5.1982
_cell_length_b 5.1982
_cell_length_c 8.8143
_cell_angle_alpha 90.00
_cell_angle_beta 90.00
_cell_angle_gamma 120.00
_space_group_name_H-M_alt 'P 63/m m c'
_space_group_IT_number 194
_space_group_name_Hall '-P 6c 2c'
loop_
_atom_site_label
_atom_site_type_symbol
_atom_site_fract_x
_atom_site_fract_y
_atom_site_fract_z
Tb1 Tb 0.3333 0.6667 0.0666
Ru1 Ru 0.0000 0.0000 0.0000
Ru2 Ru 0.1700 0.3399 0.7500
```

Computed properties:
Formation energy from the elements ... -0.377 eV/atom
ρ ... 11.6 g/cm3
Fermi-level density of states ... 1.058 states/eV per atom
Crystal system ... hexagonal


# 4
TcRu3 | meta-GGA SCAN | PBEsol geometry

Cell and atoms, written as CIF:
```
data_TcRu3
_cell_length_a 5.3691
_cell_length_b 5.3691
_cell_length_c 8.6168
_cell_angle_alpha 90.00
_cell_angle_beta 90.00
_cell_angle_gamma 120.00
_space_group_name_H-M_alt 'P 63/m m c'
_space_group_IT_number 194
_space_group_name_Hall '-P 6c 2c'
loop_
_atom_site_label
_atom_site_type_symbol
_atom_site_fract_x
_atom_site_fract_y
_atom_site_fract_z
Tc1 Tc 0.0000 0.0000 0.0000
Tc2 Tc 0.3333 0.6667 0.2500
Ru1 Ru 0.0000 0.5000 0.0000
Ru2 Ru 0.1662 0.3325 0.7500
```

Computed properties:
Formation energy from the elements ... 0.016 eV/atom
ρ ... 12.4 g/cm3
Fermi-level density of states ... 0.958 states/eV per atom
Crystal system ... hexagonal


# 5
TcRu3 | meta-GGA SCAN | PBEsol geometry

Cell and atoms, written as CIF:
```
data_TcRu3
_cell_length_a 2.6905
_cell_length_b 2.6905
_cell_length_c 8.5631
_cell_angle_alpha 90.00
_cell_angle_beta 90.00
_cell_angle_gamma 120.00
_space_group_name_H-M_alt 'P -6 m 2'
_space_group_IT_number 187
_space_group_name_Hall 'P -6 2'
loop_
_atom_site_label
_atom_site_type_symbol
_atom_site_fract_x
_atom_site_fract_y
_atom_site_fract_z
Tc1 Tc 0.0000 0.0000 0.0000
Ru1 Ru 0.0000 0.0000 0.5000
Ru2 Ru 0.3333 0.6667 0.2501
```

Computed properties:
Formation energy from the elements ... -0.035 eV/atom
ρ ... 12.4 g/cm3
Fermi-level density of states ... 0.919 states/eV per atom
Crystal system ... hexagonal


# 6
Tc2Ru | meta-GGA SCAN | PBEsol geometry

Cell and atoms, written as CIF:
```
data_Tc2Ru
_cell_length_a 9.821
_cell_length_b 2.701
_cell_length_c 6.375
_cell_angle_alpha 90.00
_cell_angle_beta 103.64
_cell_angle_gamma 90.00
_space_group_name_H-M_alt 'C 1 2/m 1'
_space_group_IT_number 12
loop_
_space_group_symop_operation_xyz
'x,y,z'
'-x,-y,-z'
'-x,y,-z'
'x,-y,z'
'x+1/2,y+1/2,z'
'-x+1/2,-y+1/2,-z'
'-x+1/2,y+1/2,-z'
'x+1/2,-y+1/2,z'
loop_
_atom_site_label
_atom_site_type_symbol
_atom_site_fract_x
_atom_site_fract_y
_atom_site_fract_z
Tc1 Tc 0.137 0.000 0.026
Tc2 Tc 0.193 0.000 0.640
Ru1 Ru 0.028 0.500 0.305
```

Computed properties:
Formation energy from the elements ... -0.063 eV/atom
ρ ... 12.0 g/cm3
Fermi-level density of states ... 0.802 states/eV per atom
Crystal system ... monoclinic